Record 1
# CrCoRe2As

A relaxed CrCoRe2As crystal (PBE, the Alexandria database).

## Properties
The magnetic moment is 0.0005 μB per atom. The value obtained for the volume is 16.610 Å³ per atom. The crystal system is tetragonal. Its calculated total energy is -7.568 eV per atom. The calculation puts the formation energy from the elements at 814 kJ/mol of formula units.

a = 4.475 Å, b = 4.475 Å, c = 4.148 Å
α = 90.00°, β = 90.00°, γ = 90.00°
Fractional positions:
1 Cr 0.000 0.000 0.000
2 Co 0.500 0.500 0.500
3 Re 0.000 0.500 0.500
4 Re 0.500 0.000 0.500
5 As 0.500 0.500 0.000

Record 2
# Sc2CrCoAs

A relaxed Sc2CrCoAs crystal (PBE, the Alexandria database).

## Properties
The magnetic moment is 1.0672 μB per atom. The value obtained for the volume is 21.849 Å³ per atom. The crystal system is tetragonal. Its calculated total energy is -6.576 eV per atom. For the energy above the lowest structure with this stoichiometry, the calculation gives 0 meV per atom. The calculation puts the formation energy from the elements at 112 kJ/mol of formula units.

a = 5.049 Å, b = 5.049 Å, c = 4.286 Å
α = 90.00°, β = 90.00°, γ = 90.00°
Fractional positions:
1 Sc 0.000 0.500 0.000
2 Sc 0.500 0.000 0.000
3 Cr 0.000 0.000 0.500
4 Co 0.500 0.500 0.500
5 As 0.500 0.500 0.000